Record 1
# DyU3

A geometry-optimized DyU3 structure (PBE, Alexandria via LeMat-Bulk). Values from VASP.

Geometry as Quantum ESPRESSO input:
```
&SYSTEM
  ibrav = 0, nat = 8, ntyp = 2
/
ATOMIC_SPECIES
Dy 162.50 Dy.upf
U 238.03 U.upf
ATOMIC_POSITIONS angstrom
Dy 0.000 0.000 0.000
Dy 2.199 2.199 4.742
U 0.000 0.000 4.742
U 0.000 2.199 2.371
U 0.000 2.199 7.114
U 2.199 0.000 2.371
U 2.199 0.000 7.114
U 2.199 2.199 0.000
CELL_PARAMETERS angstrom
4.397 0.000 0.000
0.000 4.397 0.000
0.000 0.000 9.485
```

=====

Record 2
! Tb3Pr2Sc3 (PBE, relaxed); values from VASP
! E above lowest polymorph	0	meV/atom
&SYSTEM
  ibrav = 0, nat = 16, ntyp = 3
/
ATOMIC_SPECIES
Tb 158.93 Tb.upf
Pr 140.91 Pr.upf
Sc 44.96 Sc.upf
ATOMIC_POSITIONS angstrom
Tb 0.000 0.000 0.000
Tb 0.703 0.000 3.200
Tb 5.065 2.842 2.203
Tb 7.847 2.842 0.000
Tb 8.550 2.842 3.200
Tb 12.912 0.000 2.203
Pr 2.227 2.842 4.256
Pr 3.542 0.000 1.147
Pr 10.073 0.000 4.256
Pr 11.389 2.842 1.147
Sc -1.039 2.842 2.702
Sc 1.564 2.842 0.838
Sc 4.204 0.000 4.565
Sc 6.808 0.000 2.702
Sc 9.411 0.000 0.838
Sc 12.051 2.842 4.565
CELL_PARAMETERS angstrom
15.694 0.000 0.000
0.000 5.684 0.000
-2.078 0.000 5.404

=====

Record 3
# GdCdAgBi

A geometry-optimized GdCdAgBi structure (PBE, Alexandria via LeMat-Bulk). Values from VASP.

Geometry as Quantum ESPRESSO input:
```
&SYSTEM
  ibrav = 0, nat = 16, ntyp = 4
/
ATOMIC_SPECIES
Gd 157.25 Gd.upf
Cd 112.41 Cd.upf
Ag 107.87 Ag.upf
Bi 208.98 Bi.upf
ATOMIC_POSITIONS angstrom
Gd 0.000 0.000 0.000
Gd 0.000 3.719 3.719
Gd 3.719 0.000 3.719
Gd 3.719 3.719 0.000
Cd 0.000 0.000 3.719
Cd 0.000 3.719 0.000
Cd 3.719 0.000 0.000
Cd 3.719 3.719 3.719
Ag 1.860 1.860 5.579
Ag 1.860 5.579 1.860
Ag 5.579 1.860 1.860
Ag 5.579 5.579 5.579
Bi 1.860 1.860 1.860
Bi 1.860 5.579 5.579
Bi 5.579 1.860 5.579
Bi 5.579 5.579 1.860
CELL_PARAMETERS angstrom
7.439 0.000 0.000
0.000 7.439 0.000
0.000 0.000 7.439
```

=====

Going through the records in order, we get calculated formation energy values of 0.537; 0.124; -0.226 eV per atom.
Going through the records in order, we get DOS(E_F) values of 3.07; 1.79; 0.76 states/eV/atom.
Going through the records in order, we get E_tot values of -0.6674; -0.3808; -0.4158 Ry/atom.